No. 1
# LaP2ClO (PBE, optimized geometry)
# Crystal system: tetragonal
# Energy relative to the elements, uncorrected: 0.08 eV/atom
# Density of states at the Fermi level: 6.19 states/eV/cell
# ΔE to the lowest computed polymorph: 20.02 kcal/mol of atoms
# Theoretical density: 2.64 g/cm³
# Magnetic moment: 4.61 Bohr magnetons per cell
data_LaP2ClO
_chemical_formula_sum 'La1 P2 Cl1 O1'
_cell_length_a 6.0908
_cell_length_b 6.0908
_cell_length_c 4.2784
_cell_angle_alpha 90.00
_cell_angle_beta 90.00
_cell_angle_gamma 90.00
_symmetry_space_group_name_H-M 'P 4/m m m'
_symmetry_Int_Tables_number 123
_symmetry_space_group_name_Hall '-P 4 2'
loop_
_atom_site_label
_atom_site_type_symbol
_atom_site_fract_x
_atom_site_fract_y
_atom_site_fract_z
_atom_site_occupancy
La1 La 0.0000 0.0000 0.0000 1
P1 P 0.0000 0.5000 0.0000 1
Cl1 Cl 0.5000 0.5000 0.5000 1
O1 O 0.0000 0.0000 0.5000 1

No. 2
# LaP2ClO (PBE, optimized geometry)
# Crystal system: tetragonal
# Energy relative to the elements, uncorrected: -0.01 eV/atom
# Density of states at the Fermi level: 5.84 states/eV/cell
# ΔE to the lowest computed polymorph: 18.00 kcal/mol of atoms
# Theoretical density: 4.44 g/cm³
# Magnetic moment: 0.65 Bohr magnetons per cell
data_LaP2ClO
_chemical_formula_sum 'La1 P2 Cl1 O1'
_cell_length_a 4.6077
_cell_length_b 4.6077
_cell_length_c 4.4456
_cell_angle_alpha 90.00
_cell_angle_beta 90.00
_cell_angle_gamma 90.00
_symmetry_space_group_name_H-M 'P 4/m m m'
_symmetry_Int_Tables_number 123
_symmetry_space_group_name_Hall '-P 4 2'
loop_
_atom_site_label
_atom_site_type_symbol
_atom_site_fract_x
_atom_site_fract_y
_atom_site_fract_z
_atom_site_occupancy
La1 La 0.0000 0.0000 0.0000 1
P1 P 0.0000 0.5000 0.5000 1
Cl1 Cl 0.5000 0.5000 0.5000 1
O1 O 0.5000 0.5000 0.0000 1

No. 3
# LaP2ClO (PBE, optimized geometry)
# Crystal system: tetragonal
# Energy relative to the elements, uncorrected: 0.59 eV/atom
# Density of states at the Fermi level: 9.45 states/eV/cell
# ΔE to the lowest computed polymorph: 31.77 kcal/mol of atoms
# Theoretical density: 2.18 g/cm³
# Magnetic moment: 1.74 Bohr magnetons per cell
data_LaP2ClO
_chemical_formula_sum 'La1 P2 Cl1 O1'
_cell_length_a 5.9062
_cell_length_b 5.9062
_cell_length_c 5.5110
_cell_angle_alpha 90.00
_cell_angle_beta 90.00
_cell_angle_gamma 90.00
_symmetry_space_group_name_H-M 'P 4/m m m'
_symmetry_Int_Tables_number 123
_symmetry_space_group_name_Hall '-P 4 2'
loop_
_atom_site_label
_atom_site_type_symbol
_atom_site_fract_x
_atom_site_fract_y
_atom_site_fract_z
_atom_site_occupancy
La1 La 0.0000 0.0000 0.0000 1
P1 P 0.0000 0.5000 0.0000 1
Cl1 Cl 0.0000 0.0000 0.5000 1
O1 O 0.5000 0.5000 0.5000 1

No. 4
# LaPCl2O (PBE, optimized geometry)
# Crystal system: tetragonal
# Energy relative to the elements, uncorrected: -0.61 eV/atom
# Density of states at the Fermi level: 1.47 states/eV/cell
# ΔE to the lowest computed polymorph: 0.00 kcal/mol of atoms
# Theoretical density: 4.54 g/cm³
# Magnetic moment: 0.00 Bohr magnetons per cell
data_LaPCl2O
_chemical_formula_sum 'La1 P1 Cl2 O1'
_cell_length_a 4.5513
_cell_length_b 4.5513
_cell_length_c 4.5300
_cell_angle_alpha 90.00
_cell_angle_beta 90.00
_cell_angle_gamma 90.00
_symmetry_space_group_name_H-M 'P 4/m m m'
_symmetry_Int_Tables_number 123
_symmetry_space_group_name_Hall '-P 4 2'
loop_
_atom_site_label
_atom_site_type_symbol
_atom_site_fract_x
_atom_site_fract_y
_atom_site_fract_z
_atom_site_occupancy
La1 La 0.0000 0.0000 0.0000 1
P1 P 0.5000 0.5000 0.0000 1
Cl1 Cl 0.0000 0.5000 0.5000 1
O1 O 0.5000 0.5000 0.5000 1

No. 5
# LaPClO4 (PBE, optimized geometry)
# Crystal system: monoclinic
# Energy relative to the elements, uncorrected: -2.49 eV/atom
# Theoretical density: 3.53 g/cm³
# Magnetic moment: 0.00 Bohr magnetons per cell
data_LaPClO4
_chemical_formula_sum 'La4 P4 Cl4 O16'
_cell_length_a 11.1138
_cell_length_b 6.7185
_cell_length_c 6.8795
_cell_angle_alpha 90.00
_cell_angle_beta 98.92
_cell_angle_gamma 90.00
_symmetry_space_group_name_H-M 'C 1 2/m 1'
_symmetry_Int_Tables_number 12
loop_
_symmetry_equiv_pos_as_xyz
'x,y,z'
'-x,-y,-z'
'-x,y,-z'
'x,-y,z'
'x+1/2,y+1/2,z'
'-x+1/2,-y+1/2,-z'
'-x+1/2,y+1/2,-z'
'x+1/2,-y+1/2,z'
loop_
_atom_site_label
_atom_site_type_symbol
_atom_site_fract_x
_atom_site_fract_y
_atom_site_fract_z
_atom_site_occupancy
La1 La 0.2026 0.0000 0.3227 1
P1 P 0.1468 0.0000 0.7696 1
Cl1 Cl 0.0301 0.5000 0.3709 1
O1 O 0.0067 0.0000 0.7504 1
O2 O 0.1902 0.1826 0.6554 1
O3 O 0.2073 0.0000 0.9855 1

No. 6
# LaPCl2O (PBE, optimized geometry)
# Crystal system: tetragonal
# Energy relative to the elements, uncorrected: -0.36 eV/atom
# Density of states at the Fermi level: 6.21 states/eV/cell
# ΔE to the lowest computed polymorph: 5.76 kcal/mol of atoms
# Theoretical density: 2.30 g/cm³
# Magnetic moment: 0.40 Bohr magnetons per cell
data_LaPCl2O
_chemical_formula_sum 'La1 P1 Cl2 O1'
_cell_length_a 5.5124
_cell_length_b 5.5124
_cell_length_c 6.0903
_cell_angle_alpha 90.00
_cell_angle_beta 90.00
_cell_angle_gamma 90.00
_symmetry_space_group_name_H-M 'P 4/m m m'
_symmetry_Int_Tables_number 123
_symmetry_space_group_name_Hall '-P 4 2'
loop_
_atom_site_label
_atom_site_type_symbol
_atom_site_fract_x
_atom_site_fract_y
_atom_site_fract_z
_atom_site_occupancy
La1 La 0.0000 0.0000 0.0000 1
P1 P 0.0000 0.0000 0.5000 1
Cl1 Cl 0.0000 0.5000 0.0000 1
O1 O 0.5000 0.5000 0.5000 1

No. 7
# La2PrClO4 (PBE, optimized geometry)
# Crystal system: tetragonal
# Energy relative to the elements, uncorrected: -3.25 eV/atom
# Density of states at the Fermi level: 0.00 states/eV/cell
# Theoretical density: 5.47 g/cm³
# Magnetic moment: 0.00 Bohr magnetons per cell
data_La2PrClO4
_chemical_formula_sum 'La2 Pr1 Cl1 O4'
_cell_length_a 4.0864
_cell_length_b 4.0864
_cell_length_c 9.4231
_cell_angle_alpha 90.00
_cell_angle_beta 90.00
_cell_angle_gamma 90.00
_symmetry_space_group_name_H-M 'P 4/m m m'
_symmetry_Int_Tables_number 123
_symmetry_space_group_name_Hall '-P 4 2'
loop_
_atom_site_label
_atom_site_type_symbol
_atom_site_fract_x
_atom_site_fract_y
_atom_site_fract_z
_atom_site_occupancy
La1 La 0.0000 0.0000 0.2335 1
Pr1 Pr 0.5000 0.5000 0.5000 1
Cl1 Cl 0.5000 0.5000 0.0000 1
O1 O 0.0000 0.5000 0.3439 1

No. 8
# LaRh2ClO (PBE, optimized geometry)
# Crystal system: tetragonal
# Energy relative to the elements, uncorrected: -0.12 eV/atom
# Density of states at the Fermi level: 3.93 states/eV/cell
# Theoretical density: 6.32 g/cm³
# Magnetic moment: 0.56 Bohr magnetons per cell
data_LaRh2ClO
_chemical_formula_sum 'La1 Rh2 Cl1 O1'
_cell_length_a 4.2235
_cell_length_b 4.2235
_cell_length_c 5.8332
_cell_angle_alpha 90.00
_cell_angle_beta 90.00
_cell_angle_gamma 90.00
_symmetry_space_group_name_H-M 'P 4/m m m'
_symmetry_Int_Tables_number 123
_symmetry_space_group_name_Hall '-P 4 2'
loop_
_atom_site_label
_atom_site_type_symbol
_atom_site_fract_x
_atom_site_fract_y
_atom_site_fract_z
_atom_site_occupancy
La1 La 0.0000 0.0000 0.0000 1
Rh1 Rh 0.0000 0.5000 0.5000 1
Cl1 Cl 0.0000 0.0000 0.5000 1
O1 O 0.5000 0.5000 0.0000 1

Number 1: calculated volume 31.7 A^3/atom. Number 2: calculated volume 18.9 A^3/atom. Number 3: calculated volume 38.4 A^3/atom. Number 4: calculated volume 18.8 A^3/atom. Number 5: calculated volume 18.1 A^3/atom. Number 6: calculated volume 37.0 A^3/atom. Number 7: calculated volume 19.7 A^3/atom. Number 8: calculated volume 20.8 A^3/atom.